Here is NaLuNiTe3 after structural relaxation from the Open Quantum Materials Database. Energies are from PBE-GGA.

The structure in extended XYZ format:
```
12
Lattice="2.043 -7.865 0.000 2.043 7.865 0.000 0.000 0.000 10.384" Properties=species:S:1:pos:R:3 pbc="T T T"
Na 2.043 3.980 7.788
Na 2.043 -3.980 2.596
Lu 0.000 0.000 0.000
Lu 0.000 0.000 5.192
Ni 2.043 0.146 2.596
Ni 2.043 -0.146 7.788
Te 2.043 6.412 2.596
Te 2.043 2.013 0.881
Te 2.043 2.013 4.311
Te 2.043 -2.013 6.073
Te 2.043 -2.013 9.503
Te 2.043 -6.412 7.788
```

For the density, the calculation gives 6.36 g/cm³. The volume is 27.8 Å³ per atom. The total magnetic moment is 0.02 Bohr magnetons per cell. The space group is Cmcm (63). The value obtained for the distance to the lowest polymorph of the same formula is 11.3 meV/atom.